# ScReMo3 | Alexandria | GGA-PBEsol | optimized geometry
# Energy relative to the elements: 2.22 eV per atom
# D(E_F): 6.2 states/eV per cell
# E_tot: -8.825 eV/atom
data_ScReMo3
_chemical_formula_sum 'Sc1 Re1 Mo3'
_cell_length_a 4.421
_cell_length_b 4.421
_cell_length_c 4.421
_cell_angle_alpha 90.00
_cell_angle_beta 90.00
_cell_angle_gamma 90.00
_space_group_name_H-M_alt 'P m -3 m'
_space_group_IT_number 221
_space_group_name_Hall '-P 4 2 3'
loop_
_atom_site_label
_atom_site_type_symbol
_atom_site_fract_x
_atom_site_fract_y
_atom_site_fract_z
_atom_site_occupancy
Sc1 Sc 0.000 0.000 0.000 1
Re1 Re 0.500 0.500 0.500 1
Mo1 Mo 0.000 0.000 0.500 1